DFT (GGA-PBE) results for a relaxed AlSi2GeO crystal.

Cell and atoms, written as POSCAR:
```
AlSi2GeO
1.0
4.511 0.000 0.000
0.000 4.511 0.000
0.000 0.000 3.846
Al Si Ge O
1 2 1 1
Direct
0.000 0.000 0.000
0.000 0.500 0.500
0.500 0.000 0.500
0.500 0.500 0.000
0.000 0.000 0.500
```

Computed properties:
V: 78 Å³ per cell
size of the total moment: 0.00 μB/cell
ρ: 3.6 Mg/m³
formation energy (no corrections): 0.069 eV per atom